Te2AsW | GGA-PBE | optimized geometry

Properties
Magnetic moment = 0.00 μB/f.u.
Density of states at the Fermi level = 0.637 states/eV/atom
Raw formation energy = 0.22 eV per atom

Cell and atoms, written as POSCAR:
```
Te2AsW
1.0
3.165 0.000 0.000
0.000 3.165 0.000
0.000 0.000 10.057
Te As W
2 1 1
direct
0.000 0.000 0.000 Te
0.500 0.500 0.362 Te
0.500 0.500 0.685 As
0.000 0.000 0.538 W
```